(1)
First-principles (GGA-PBE) data for YCo2Sn after structural relaxation, as listed in the Open Quantum Materials Database.

```
YCo2Sn
1.0
6.5925 0.0000 0.0000
0.0000 6.5925 0.0000
0.0000 0.0000 6.5925
Y Co Sn
4 8 4
direct
0.0000 0.0000 0.0000
0.0000 0.5000 0.5000
0.5000 0.0000 0.5000
0.5000 0.5000 0.0000
0.0000 0.0000 0.5000
0.0000 0.5000 0.0000
0.2500 0.2500 0.2500
0.2500 0.7500 0.7500
0.5000 0.0000 0.0000
0.5000 0.5000 0.5000
0.7500 0.2500 0.7500
0.7500 0.7500 0.2500
0.2500 0.2500 0.7500
0.2500 0.7500 0.2500
0.7500 0.2500 0.2500
0.7500 0.7500 0.7500
```

## Properties
Electronic total energy   -5.952 eV per atom
Theoretical density   7545 kg/m³
Total moment   1.2 μB per formula unit

***

(2)
First-principles (GGA-PBE) data for Y3Co8Sn4 after structural relaxation, as listed in the Open Quantum Materials Database.

```
Y3Co8Sn4
1.0
8.8856 0.0000 0.0000
-4.4428 7.6951 0.0000
0.0000 0.0000 7.4270
Y Co Sn
6 16 8
direct
0.0577 0.5289 0.0000
0.4711 0.5289 0.0000
0.4711 0.9423 0.0000
0.5289 0.0577 0.5000
0.5289 0.4711 0.5000
0.9423 0.4711 0.5000
0.0000 0.0000 0.2208
0.0000 0.0000 0.7208
0.0977 0.1955 0.9757
0.0977 0.9023 0.9757
0.1592 0.3184 0.6687
0.1592 0.8408 0.6687
0.1955 0.0977 0.4757
0.3184 0.1592 0.1687
0.3333 0.6667 0.2959
0.6667 0.3333 0.7959
0.6816 0.8408 0.6687
0.8045 0.9023 0.9757
0.8408 0.1592 0.1687
0.8408 0.6816 0.1687
0.9023 0.0977 0.4757
0.9023 0.8045 0.4757
0.1715 0.3430 0.2956
0.1715 0.8285 0.2956
0.3333 0.6667 0.6688
0.3430 0.1715 0.7956
0.6570 0.8285 0.2956
0.6667 0.3333 0.1688
0.8285 0.1715 0.7956
0.8285 0.6570 0.7956
```

## Properties
Electronic total energy   -6.465 eV per atom
Theoretical density   7933 kg/m³
Total moment   7.1 μB per formula unit

***

(3)
First-principles (GGA-PBE) data for ZnCoSn2 after structural relaxation, as listed in the Open Quantum Materials Database.

```
ZnCoSn2
1.0
6.7587 0.0000 0.0000
0.0000 6.7587 0.0000
0.0000 0.0000 6.7587
Zn Co Sn
4 4 8
direct
0.0000 0.0000 0.0000
0.0000 0.5000 0.5000
0.5000 0.0000 0.5000
0.5000 0.5000 0.0000
0.2500 0.2500 0.7500
0.2500 0.7500 0.2500
0.7500 0.2500 0.2500
0.7500 0.7500 0.7500
0.0000 0.0000 0.5000
0.0000 0.5000 0.0000
0.2500 0.2500 0.2500
0.2500 0.7500 0.7500
0.5000 0.0000 0.0000
0.5000 0.5000 0.5000
0.7500 0.2500 0.7500
0.7500 0.7500 0.2500
```

## Properties
Electronic total energy   -3.609 eV per atom
Theoretical density   7783 kg/m³
Total moment   1.1 μB per formula unit

***

Question: The lowest total moment belongs to which entry?
Answer: ZnCoSn2